A relaxed CsCaMoPdI crystal. Source: Alexandria via LeMat-Bulk, functional GGA-PBE.

Values from the calculation:
Density of states at the Fermi level   4.0 states/eV/cell
Calculated total energy   -4.183 eV per atom
Uncorrected formation energy   -97 meV/atom
Total moment   0.4 μB/cell

```
CsCaMoPdI
1.0
4.302 0.000 0.000
-2.151 3.726 0.000
0.000 0.000 10.381
Cs Ca Mo Pd I
1 1 1 1 1
Direct
0.000 0.000 0.000
0.000 0.000 0.501
0.333 0.667 0.714
0.667 0.333 0.704
0.667 0.333 0.291
```

***

A relaxed CsCaMoPdI crystal. Source: Alexandria via LeMat-Bulk, functional GGA-PBE.

Values from the calculation:
Density of states at the Fermi level   2.1 states/eV/cell
Calculated total energy   -3.923 eV per atom
Uncorrected formation energy   163 meV/atom
Total moment   0.0 μB/cell

```
CsCaMoPdI
1.0
5.522 -2.032 0.000
5.522 2.032 0.000
-1.278 0.000 8.776
Cs Ca Mo Pd I
1 1 1 1 1
Direct
0.000 0.000 0.000
0.363 0.363 0.418
0.103 0.103 0.476
0.634 0.634 0.337
0.251 0.251 0.750
```

***

A relaxed CsCaMoPdI crystal. Source: Alexandria via LeMat-Bulk, functional GGA-PBE.

Values from the calculation:
Density of states at the Fermi level   4.1 states/eV/cell
Calculated total energy   -3.893 eV per atom
Uncorrected formation energy   193 meV/atom
Total moment   3.5 μB/cell

```
CsCaMoPdI
1.0
-2.183 2.548 7.707
2.183 -2.548 7.707
2.183 2.548 -7.707
Cs Ca Mo Pd I
1 1 1 1 1
Direct
0.000 0.000 0.000
0.767 0.267 0.500
0.399 0.399 0.000
0.311 0.811 0.500
0.601 0.601 0.000
```

***

A relaxed CsCaMoPdI crystal. Source: Alexandria via LeMat-Bulk, functional GGA-PBE.

Values from the calculation:
Density of states at the Fermi level   3.7 states/eV/cell
Calculated total energy   -4.026 eV per atom
Uncorrected formation energy   60 meV/atom
Total moment   2.1 μB/cell

```
CsCaMoPdI
1.0
4.012 0.000 0.000
0.000 5.087 0.000
0.000 0.000 8.396
Cs Ca Mo Pd I
1 1 1 1 1
Direct
0.000 0.000 0.000
0.500 0.000 0.442
0.000 0.500 0.458
0.500 0.500 0.267
0.500 0.500 0.707
```

***

A relaxed CsCaMoPdI crystal. Source: Alexandria via LeMat-Bulk, functional GGA-PBE.

Values from the calculation:
Density of states at the Fermi level   3.8 states/eV/cell
Calculated total energy   -3.903 eV per atom
Uncorrected formation energy   183 meV/atom
Total moment   2.0 μB/cell

```
CsCaMoPdI
1.0
3.965 0.000 0.000
0.000 4.867 0.000
-0.032 0.000 9.000
Cs Ca Mo Pd I
1 1 1 1 1
Direct
0.000 0.000 0.000
0.505 0.500 0.618
0.504 0.000 0.399
0.005 0.000 0.572
0.502 0.500 0.250
```

***

A relaxed CsCaMoPdI crystal. Source: Alexandria via LeMat-Bulk, functional GGA-PBE.

Values from the calculation:
Density of states at the Fermi level   4.0 states/eV/cell
Calculated total energy   -4.061 eV per atom
Uncorrected formation energy   25 meV/atom
Total moment   0.0 μB/cell

```
CsCaMoPdI
1.0
2.103 1.214 10.905
-2.103 1.214 10.905
0.000 -2.428 10.905
Cs Ca Mo Pd I
1 1 1 1 1
Direct
0.000 0.000 0.000
0.162 0.162 0.162
0.249 0.249 0.249
0.564 0.564 0.564
0.430 0.430 0.430
```

***

A relaxed CsCaMoPdI crystal. Source: Alexandria via LeMat-Bulk, functional GGA-PBE.

Values from the calculation:
Density of states at the Fermi level   3.4 states/eV/cell
Calculated total energy   -3.887 eV per atom
Uncorrected formation energy   198 meV/atom
Total moment   0.0 μB/cell

```
CsCaMoPdI
1.0
5.506 -1.996 0.000
5.506 1.996 0.000
-2.101 0.000 8.644
Cs Ca Mo Pd I
1 1 1 1 1
Direct
0.000 0.000 0.000
0.259 0.259 0.587
0.974 0.974 0.518
0.549 0.549 0.669
0.767 0.767 0.271
```

***

A relaxed CsCaIN2 crystal. Source: Alexandria via LeMat-Bulk, functional GGA-PBE.

Values from the calculation:
Density of states at the Fermi level   1.0 states/eV/cell
Calculated total energy   -2.866 eV per atom
Uncorrected formation energy   1345 meV/atom
Total moment   1.2 μB/cell

```
CsCaIN2
1.0
4.630 0.000 0.000
0.000 4.630 0.000
0.000 0.000 6.656
Cs Ca I N
1 1 1 2
Direct
0.000 0.000 0.000
0.500 0.500 0.500
0.000 0.000 0.500
0.000 0.500 0.000
0.500 0.000 0.000
```